# 1
LiYTe2: optimized geometry, PBE-GGA.

Output
The calculation puts the spin magnetization at 0.00 μB/f.u. The calculation puts the uncorrected formation energy at -1.26 eV/atom.

a = 4.3135 Å, b = 4.3135 Å, c = 22.4389 Å
α = 90.00°, β = 90.00°, γ = 120.00°
Space group R3m (No. 160, hexagonal axes)
Asymmetric unit:
Li 0.0000 0.0000 0.0000 (multiplicity 3)
Y 0.0000 0.0000 0.8298 (multiplicity 3)
Te 0.0000 0.0000 0.2441 (multiplicity 3)
Te 0.0000 0.0000 0.4151 (multiplicity 3)

***

# 2
Nd2AsH: optimized geometry, PBE-GGA.

Output
The calculation puts the spin magnetization at 0.23 μB/f.u. For the total energy, the calculation gives -4.897 eV per atom.

a = 7.2443 Å, b = 4.1824 Å, c = 7.5900 Å
α = 90.00°, β = 108.46°, γ = 90.00°
Space group Cm (No. 8)
Asymmetric unit:
Nd 0.0000 0.0000 0.0000 (multiplicity 2)
Nd 0.0330 0.5000 0.5971 (multiplicity 2)
As 0.1290 0.0000 0.3843 (multiplicity 2)
H 0.1436 0.5000 0.9305 (multiplicity 2)

***

# 3
KSrPt3: optimized geometry, PBE-GGA.

Output
The calculation puts the spin magnetization at 0.00 μB/f.u. The value obtained for the calculated formation energy is 1.07 eV per atom.

a = 5.1565 Å, b = 5.1565 Å, c = 5.1565 Å
α = 90.00°, β = 90.00°, γ = 90.00°
Space group Pm-3m (No. 221)
Asymmetric unit:
K 0.0000 0.0000 0.0000 (multiplicity 1)
Sr 0.5000 0.5000 0.5000 (multiplicity 1)
Pt 0.0000 0.0000 0.5000 (multiplicity 3)

***

# 4
Na2Ag2Hg: optimized geometry, PBE-GGA.

Output
The calculation puts the spin magnetization at 0.00 μB/f.u. The value obtained for the calculated formation energy is -0.06 eV per atom.

a = 7.4749 Å, b = 7.4749 Å, c = 4.3277 Å
α = 90.00°, β = 90.00°, γ = 90.00°
Space group P4/mbm (No. 127)
Asymmetric unit:
Na 0.1692 0.3308 0.0000 (multiplicity 4)
Ag 0.1320 0.6320 0.5000 (multiplicity 4)
Hg 0.0000 0.0000 0.5000 (multiplicity 2)

***

# 5
MnHgTe2: optimized geometry, PBE-GGA.

Output
The calculation puts the spin magnetization at 3.71 μB/f.u. The calculation puts the uncorrected formation energy at 0.03 eV/atom.

a = 3.8414 Å, b = 5.8032 Å, c = 10.4215 Å
α = 90.00°, β = 90.00°, γ = 90.00°
Space group Cmmm (No. 65)
Asymmetric unit:
Mn 0.0000 0.0000 0.0000 (multiplicity 2)
Hg 0.0000 0.0000 0.5000 (multiplicity 2)
Te 0.0000 0.5000 0.1789 (multiplicity 4)

***

# 6
AcPmS2O8: optimized geometry, PBE-GGA.

Output
The calculation puts the spin magnetization at 0.00 μB/f.u. The calculation puts the uncorrected formation energy at -1.90 eV/atom.

a = 5.1074 Å, b = 5.1074 Å, c = 8.5509 Å
α = 90.00°, β = 90.00°, γ = 120.00°
Space group P-3m1 (No. 164)
Asymmetric unit:
Ac 0.0000 0.0000 0.0000 (multiplicity 1)
Pm 0.0000 0.0000 0.5000 (multiplicity 1)
S 0.3333 0.6667 0.2031 (multiplicity 2)
O 0.1733 0.3466 0.2531 (multiplicity 6)
O 0.3333 0.6667 0.0252 (multiplicity 2)

***

# 7
La2TiInO: optimized geometry, PBE-GGA.

Output
The calculation puts the spin magnetization at 1.19 μB/f.u. The calculation puts the uncorrected formation energy at -1.26 eV/atom.

a = 5.3380 Å, b = 5.3380 Å, c = 4.0674 Å
α = 90.00°, β = 90.00°, γ = 90.00°
Space group P4/mmm (No. 123)
Asymmetric unit:
La 0.0000 0.5000 0.0000 (multiplicity 2)
Ti 0.0000 0.0000 0.5000 (multiplicity 1)
In 0.5000 0.5000 0.5000 (multiplicity 1)
O 0.0000 0.0000 0.0000 (multiplicity 1)